#A
# BeCu2Cl (PBE, optimized geometry)
# * DOS at the Fermi energy: 0.89 states/eV/f.u.
data_BeCu2Cl
_cell_length_a 2.9527
_cell_length_b 2.9527
_cell_length_c 21.4911
_cell_angle_alpha 90.00
_cell_angle_beta 90.00
_cell_angle_gamma 120.00
_space_group_name_H-M_alt 'R -3 m'
_space_group_IT_number 166
_space_group_name_Hall '-R 3 2"'
loop_
_atom_site_label
_atom_site_fract_x
_atom_site_fract_y
_atom_site_fract_z
Be1 0.0000 0.0000 0.0000
Cu1 0.0000 0.0000 0.2570
Cl1 0.0000 0.0000 0.5000


#B
# BeCu2Cl (PBE, optimized geometry)
# * DOS at the Fermi energy: 0.77 states/eV/f.u.
data_BeCu2Cl
_cell_length_a 2.798
_cell_length_b 4.002
_cell_length_c 11.425
_cell_angle_alpha 90.00
_cell_angle_beta 90.00
_cell_angle_gamma 90.00
_space_group_name_H-M_alt 'I m m 2'
_space_group_IT_number 44
_space_group_name_Hall 'I 2 -2'
loop_
_atom_site_label
_atom_site_fract_x
_atom_site_fract_y
_atom_site_fract_z
Be1 0.000 0.000 0.000
Cu1 0.000 0.000 0.448
Cu2 0.000 0.500 0.336
Cl1 0.000 0.500 0.637


#C
# BeCu2Cl (PBE, optimized geometry)
# * DOS at the Fermi energy: 1.19 states/eV/f.u.
data_BeCu2Cl
_cell_length_a 3.355
_cell_length_b 3.355
_cell_length_c 10.177
_cell_angle_alpha 90.00
_cell_angle_beta 90.00
_cell_angle_gamma 90.00
_space_group_name_H-M_alt 'I 4/m m m'
_space_group_IT_number 139
_space_group_name_Hall '-I 4 2'
loop_
_atom_site_label
_atom_site_fract_x
_atom_site_fract_y
_atom_site_fract_z
Be1 0.000 0.000 0.000
Cu1 0.000 0.500 0.250
Cl1 0.000 0.000 0.500


Question: of the structures shown, which is the least stable? Reply: #C.